1.
Crystalline Rb2PuBrCl6 at its relaxed geometry, computed with PBE-GGA.

## Properties
Magnetization = 4.38 Bohr magnetons per cell
Raw formation energy = -1.544 eV per atom
SG = P-3m1

Lattice parameters (Å, degrees): 7.3362 7.3362 9.5065 90.00 90.00 120.00
Last column: nearest neighbours and their distance in Å.
Fractional positions:
Rb1 0.3333 0.6667 0.1636  9 Cl 3.67
Rb2 0.6667 0.3333 0.8364  9 Cl 3.67
Pu1 0.0000 0.0000 0.0000  6 Cl 2.57
Br1 0.0000 0.0000 0.5000  6 Cl 3.93
Cl1 0.1671 0.3342 0.8476  1 Pu 2.57
Cl2 0.1671 0.8329 0.8476  1 Pu 2.57
Cl3 0.3342 0.1671 0.1524  1 Pu 2.57
Cl4 0.6658 0.8329 0.8476  1 Pu 2.57
Cl5 0.8329 0.1671 0.1524  1 Pu 2.57
Cl6 0.8329 0.6658 0.1524  1 Pu 2.57

2.
Crystalline HfCl4 at its relaxed geometry, computed with PBE-GGA.

## Properties
Magnetization = 0.00 Bohr magnetons per cell
Raw formation energy = -1.834 eV per atom
SG = P2/c

Lattice parameters (Å, degrees): 6.9574 8.1613 6.2985 90.00 107.61 90.00
Last column: nearest neighbours and their distance in Å.
Fractional positions:
Hf1 0.0000 0.1489 0.2500  4 Cl 2.32-2.49
Hf2 0.0000 0.8511 0.7500  4 Cl 2.32-2.49
Cl1 0.2051 0.0970 0.9943  2 Hf 2.49-2.67
Cl2 0.2051 0.9030 0.4943  2 Hf 2.49-2.67
Cl3 0.2319 0.3323 0.4655  1 Hf 2.32
Cl4 0.2319 0.6677 0.9655  1 Hf 2.32
Cl5 0.7681 0.3323 0.0345  1 Hf 2.32
Cl6 0.7681 0.6677 0.5345  1 Hf 2.32
Cl7 0.7949 0.0970 0.5057  2 Hf 2.49-2.67
Cl8 0.7949 0.9030 0.0057  2 Hf 2.49-2.67

3.
Crystalline CeTh2N4 at its relaxed geometry, computed with PBE-GGA.

## Properties
Magnetization = 0.00 Bohr magnetons per cell
Raw formation energy = -1.522 eV per atom
SG = Pbam

Lattice parameters (Å, degrees): 6.0590 10.5405 3.6312 90.00 90.00 90.00
Last column: nearest neighbours and their distance in Å.
Fractional positions:
Ce1 0.0000 0.0000 0.0000  6 N 2.40-2.41
Ce2 0.5000 0.5000 0.0000  6 N 2.40-2.41
Th1 0.0510 0.3292 0.5000  4 N 2.34-2.48
Th2 0.4490 0.8292 0.5000  4 N 2.34-2.48
Th3 0.5510 0.1708 0.5000  4 N 2.34-2.48
Th4 0.9490 0.6708 0.5000  4 N 2.34-2.48
N1 0.1764 0.7955 0.0000  1 Ce 2.41, 4 Th 2.48-2.63
N2 0.2446 0.5284 0.5000  2 Th 2.34-2.41, 2 Ce 2.40
N3 0.2554 0.0284 0.5000  2 Th 2.34-2.41, 2 Ce 2.40
N4 0.3236 0.2955 0.0000  1 Ce 2.41, 4 Th 2.48-2.63
N5 0.6764 0.7045 0.0000  1 Ce 2.41, 4 Th 2.48-2.63
N6 0.7446 0.9716 0.5000  2 Th 2.34-2.41, 2 Ce 2.40
N7 0.7554 0.4716 0.5000  2 Th 2.34-2.41, 2 Ce 2.40
N8 0.8236 0.2045 0.0000  1 Ce 2.41, 4 Th 2.48-2.63